Entry 1:
DFT (GGA-PBE) results for an optimized crystal structure of CaRuSeBr2.

Cell: 5.1432 5.1432 4.8549 Å, 90.00 90.00 90.00°
Positions (direct):
Ru 0.0000 0.0000 0.0000
Ca 0.5000 0.5000 0.5000
Se 0.0000 0.0000 0.5000
Br 0.0000 0.5000 0.0000
Br 0.5000 0.0000 0.0000

Values from the calculation:
E_form (uncorrected), eV/atom: -0.5000
Symmetry: P4/mmm, No. 123
Magnetization, μB per cell: 0.00


Entry 2:
DFT (GGA-PBE) results for an optimized crystal structure of CrNi14Mo.

Cell: 5.0412 5.0412 7.0576 Å, 90.00 90.00 90.00°
Site moments in Bohr magnetons follow the coordinates.
Positions (direct):
Cr 0.3750 0.3750 0.5000  1.96
Ni 0.8750 0.8750 0.0000  -0.67
Ni 0.3750 0.3750 0.0000  -0.45
Ni 0.8750 0.3750 0.5000  -0.08
Ni 0.8750 0.3750 0.0000  -0.44
Ni 0.3750 0.8750 0.5000  -0.08
Ni 0.3750 0.8750 0.0000  -0.44
Ni 0.6233 0.1267 0.2486  -0.24
Ni 0.6233 0.1267 0.7514  -0.24
Ni 0.1267 0.6233 0.2486  -0.24
Ni 0.1267 0.6233 0.7514  -0.24
Ni 0.6232 0.6232 0.2486  -0.24
Ni 0.6232 0.6232 0.7514  -0.24
Ni 0.1268 0.1268 0.2486  -0.24
Ni 0.1268 0.1268 0.7514  -0.24
Mo 0.8750 0.8750 0.5000  0.01

Values from the calculation:
Energy of formation from the pure elements, meV/atom: -9
Symmetry: P4/mmm, No. 123
Magnetization, μB per cell: 1.82


Entry 3:
DFT (GGA-PBE) results for an optimized crystal structure of KAsPb.

Cell: 5.2773 5.2773 5.2773 Å, 60.00 60.00 60.00°
Positions (direct):
As 0.7500 0.7500 0.7500
K 0.0000 0.0000 0.0000
Pb 0.5000 0.5000 0.5000

Values from the calculation:
Energy of formation from the pure elements, meV/atom: -157
Symmetry: F-43m, No. 216
Magnetization, μB per cell: 0.00


Entry 4:
DFT (GGA-PBE) results for an optimized crystal structure of PmAgHg2.

Cell: 5.0918 5.0918 5.0918 Å, 60.00 60.00 60.00°
Positions (direct):
Hg 0.2500 0.2500 0.2500
Hg 0.7500 0.7500 0.7500
Ag 0.5000 0.5000 0.5000
Pm 0.0000 0.0000 0.0000

Values from the calculation:
Energy of formation from the pure elements, meV/atom: -361
Symmetry: Fm-3m, No. 225
Magnetization, μB per cell: 0.00


Entry 5:
DFT (GGA-PBE) results for an optimized crystal structure of Tb3Nd3SmZn2.

Cell: 3.6452 9.1858 9.1858 Å, 120.00 90.00 90.00°
Positions (direct):
Tb 0.0000 0.6234 0.6234
Tb 0.0000 0.0000 0.3766
Tb 0.0000 0.3766 0.0000
Nd 0.5000 0.6863 0.0000
Nd 0.5000 0.0000 0.6863
Nd 0.5000 0.3137 0.3137
Sm 0.0000 0.0000 0.0000
Zn 0.5000 0.6667 0.3333
Zn 0.5000 0.3333 0.6667

Values from the calculation:
Energy of formation from the pure elements, meV/atom: 4
Symmetry: P-62m, No. 189
Magnetization, μB per cell: 0.00


Entry 6:
DFT (GGA-PBE) results for an optimized crystal structure of Al6Cu3Pt.

Cell: 4.1608 7.2603 10.0935 Å, 90.00 90.00 90.00°
Positions (direct):
Al 0.5000 0.1637 0.9116
Al 0.5000 0.1826 0.6148
Al 0.5000 0.4940 0.2461
Al 0.5000 0.5060 0.7539
Al 0.5000 0.8174 0.3852
Al 0.5000 0.8363 0.0884
Al 0.0000 0.3363 0.4116
Al 0.0000 0.3174 0.1148
Al 0.0000 0.0059 0.7461
Al 0.0000 0.9941 0.2539
Al 0.0000 0.6826 0.8852
Al 0.0000 0.6637 0.5884
Cu 0.5000 0.8428 0.6416
Cu 0.5000 0.5000 0.0000
Cu 0.5000 0.1572 0.3584
Cu 0.0000 0.6572 0.1417
Cu 0.0000 0.0000 0.5000
Cu 0.0000 0.3428 0.8583
Pt 0.5000 0.5000 0.5000
Pt 0.0000 0.0000 0.0000

Values from the calculation:
Energy of formation from the pure elements, meV/atom: -323
Symmetry: Pnnm, No. 58
Magnetization, μB per cell: 0.00


Entry 7:
DFT (GGA-PBE) results for an optimized crystal structure of Cr2PbCl.

Cell: 4.8461 4.8461 4.8461 Å, 60.00 60.00 60.00°
Site moments in Bohr magnetons follow the coordinates.
Positions (direct):
Pb 0.5000 0.5000 0.5000  -0.28
Cr 0.2500 0.2500 0.2500  3.60
Cr 0.7500 0.7500 0.7500  3.60
Cl 0.0000 0.0000 0.0000  -0.09

Values from the calculation:
E_form (uncorrected), eV/atom: 0.5711
Symmetry: Fm-3m, No. 225
Magnetization, μB per cell: 7.30


Entry 8:
DFT (GGA-PBE) results for an optimized crystal structure of PmTlSn2Cl8.

Cell: 6.7801 6.7850 9.0972 Å, 92.27 92.57 88.50°
Positions (direct):
Pm 0.0000 0.0000 0.0000
Tl 0.0000 0.0000 0.5000
Sn 0.5076 0.5080 0.7480
Sn 0.4924 0.4920 0.2520
Cl 0.1799 0.7839 0.2171
Cl 0.7176 0.7133 0.9650
Cl 0.7813 0.1761 0.2156
Cl 0.8201 0.2161 0.7829
Cl 0.2824 0.2867 0.0350
Cl 0.2187 0.8239 0.7844
Cl 0.6780 0.6791 0.5431
Cl 0.3220 0.3209 0.4569

Values from the calculation:
E_form (uncorrected), eV/atom: -1.4223
Symmetry: P-1, No. 2
Magnetization, μB per cell: 0.00


Entry 9:
DFT (GGA-PBE) results for an optimized crystal structure of PuInRh.

Cell: 3.2435 3.2435 6.4042 Å, 104.67 104.67 90.00°
Site moments in Bohr magnetons follow the coordinates.
Positions (direct):
Pu 0.9326 0.9326 0.8651  5.25
Rh 0.2772 0.2772 0.5544  -0.14
In 0.6403 0.6403 0.2805  -0.02

Values from the calculation:
Energy of formation from the pure elements, meV/atom: -347
Symmetry: I4mm, No. 107
Magnetization, μB per cell: 5.36


Entry 10:
DFT (GGA-PBE) results for an optimized crystal structure of BeNbIr.

Cell: 3.6408 7.2407 6.2044 Å, 90.00 90.00 90.00°
Positions (direct):
Be 0.7500 0.6250 0.2789
Be 0.7500 0.8750 0.7789
Be 0.2500 0.1250 0.2211
Be 0.2500 0.3750 0.7211
Nb 0.2500 0.8196 0.4777
Nb 0.7500 0.3196 0.0223
Nb 0.2500 0.6804 0.9777
Nb 0.7500 0.1804 0.5223
Ir 0.7500 0.9336 0.1579
Ir 0.7500 0.5664 0.6579
Ir 0.2500 0.0664 0.8421
Ir 0.2500 0.4336 0.3421

Values from the calculation:
Energy of formation from the pure elements, meV/atom: -534
Symmetry: Pnma, No. 62
Magnetization, μB per cell: 0.00


Entry 11:
DFT (GGA-PBE) results for an optimized crystal structure of V3Mo2W.

Cell: 5.3275 7.9909 5.1153 Å, 93.93 99.83 123.31°
Positions (direct):
V 0.3758 0.0015 0.7497
V 0.6242 0.9985 0.2503
V 0.9568 0.6649 0.9179
V 0.2924 0.3340 0.5864
V 0.7076 0.6660 0.4136
V 0.0432 0.3351 0.0821
Mo 0.2083 0.6668 0.4174
Mo 0.4586 0.6667 0.9163
Mo 0.5414 0.3333 0.0837
Mo 0.7917 0.3332 0.5826
W 0.1254 0.0006 0.2507
W 0.8746 0.9994 0.7493

Values from the calculation:
Energy of formation from the pure elements, meV/atom: -114
Symmetry: P-1, No. 2
Magnetization, μB per cell: 0.00


Entry 12:
DFT (GGA-PBE) results for an optimized crystal structure of TlB2F.

Cell: 4.2185 4.2185 4.2185 Å, 60.00 60.00 60.00°
Positions (direct):
Tl 0.5000 0.5000 0.5000
B 0.2500 0.2500 0.2500
B 0.7500 0.7500 0.7500
F 0.0000 0.0000 0.0000

Values from the calculation:
E_form (uncorrected), eV/atom: 1.3370
Symmetry: Fm-3m, No. 225
Magnetization, μB per cell: 0.00